ZrSc8Al2 | PBE-GGA | relaxed

Computed properties:
E	-6.08	eV per atom
symmetry	C2/m, No. 12

Cell and atoms, written as POSCAR:
```
ZrSc8Al2
1.0
4.0438 -6.8895 0.0000
4.0438 6.8895 0.0000
-2.2837 0.0000 4.6007
Zr Sc Al
1 8 2
direct
0.0000 0.0000 0.0000
0.0920 0.3229 0.6274
0.2145 0.7855 0.0000
0.3229 0.0920 0.6274
0.4017 0.4017 0.2058
0.5983 0.5983 0.7942
0.6771 0.9080 0.3726
0.7855 0.2145 0.0000
0.9080 0.6771 0.3726
0.3078 0.6922 0.5000
0.6922 0.3078 0.5000
```



ZrSc6Al | PBE-GGA | relaxed

Computed properties:
E	-6.35	eV per atom
ΔE to the lowest computed polymorph	0.0	meV/atom
symmetry	Cmmm, No. 65

Cell and atoms, written as POSCAR:
```
ZrSc6Al
1.0
3.9685 -4.8804 0.0000
3.9685 4.8804 0.0000
0.0000 0.0000 4.7460
Zr Sc Al
1 6 1
direct
0.0000 0.0000 0.0000
0.0000 0.5000 0.0000
0.2221 0.7779 0.5000
0.2777 0.2777 0.5000
0.5000 0.0000 0.0000
0.7223 0.7223 0.5000
0.7779 0.2221 0.5000
0.5000 0.5000 0.0000
```



ZrSc2Al2 | PBE-GGA | relaxed

Computed properties:
E	-5.93	eV per atom
ΔE to the lowest computed polymorph	181.2	meV/atom
symmetry	P4/mbm, No. 127

Cell and atoms, written as POSCAR:
```
ZrSc2Al2
1.0
8.2377 0.0000 0.0000
0.0000 8.2377 0.0000
0.0000 0.0000 3.0322
Zr Sc Al
2 4 4
direct
0.0000 0.0000 0.0000
0.5000 0.5000 0.0000
0.1237 0.3763 0.0000
0.3763 0.8763 0.0000
0.6237 0.1237 0.0000
0.8763 0.6237 0.0000
0.1753 0.6753 0.5000
0.3247 0.1753 0.5000
0.6753 0.8247 0.5000
0.8247 0.3247 0.5000
```



ZrSc6Al | PBE-GGA | relaxed

Computed properties:
E	-6.02	eV per atom
ΔE to the lowest computed polymorph	329.7	meV/atom
symmetry	C2/m, No. 12

Cell and atoms, written as POSCAR:
```
ZrSc6Al
1.0
4.0978 -3.2092 0.0000
4.0978 3.2092 0.0000
-2.3828 0.0000 7.8142
Zr Sc Al
1 6 1
direct
0.0000 0.0000 0.0000
0.0573 0.5589 0.2000
0.1396 0.1396 0.4253
0.4411 0.9427 0.8000
0.5589 0.0573 0.2000
0.8604 0.8604 0.5747
0.9427 0.4411 0.8000
0.5000 0.5000 0.5000
```



ZrScAl | PBE-GGA | relaxed

Computed properties:
E	-6.46	eV per atom
ΔE to the lowest computed polymorph	56.6	meV/atom
symmetry	Imm2, No. 44

Cell and atoms, written as POSCAR:
```
ZrScAl
1.0
-1.5804 2.0443 4.8128
1.5804 -2.0443 4.8128
1.5804 2.0443 -4.8128
Zr Sc Al
1 1 1
direct
0.0000 0.0000 0.0000
0.3150 0.3150 0.0000
0.6585 0.6585 0.0000
```



Zr5Sc2Al4 | PBE-GGA | relaxed

Computed properties:
E	-6.64	eV per atom
symmetry	P2/m, No. 10

Cell and atoms, written as POSCAR:
```
Zr5Sc2Al4
1.0
7.8503 0.0000 0.0000
0.0000 2.9689 0.0000
-1.1032 0.0000 9.6546
Zr Sc Al
5 2 4
direct
0.0000 0.0000 0.0000
0.0397 0.0000 0.3242
0.3333 0.0000 0.8491
0.6667 0.0000 0.1509
0.9603 0.0000 0.6758
0.4163 0.0000 0.3624
0.5837 0.0000 0.6376
0.2448 0.5000 0.5707
0.3109 0.5000 0.1134
0.6891 0.5000 0.8866
0.7552 0.5000 0.4293
```



ZrSc5Al3 | PBE-GGA | relaxed

Computed properties:
E	-6.06	eV per atom
symmetry	P6_3/mcm, No. 193

Cell and atoms, written as POSCAR:
```
ZrSc5Al3
1.0
8.4675 0.0000 0.0000
-4.2338 7.3331 0.0000
0.0000 0.0000 6.1174
Zr Sc Al
2 10 6
direct
0.0000 0.0000 0.0000
0.0000 0.0000 0.5000
0.0000 0.3331 0.2500
0.0000 0.6669 0.7500
0.3331 0.0000 0.2500
0.3331 0.3331 0.7500
0.3333 0.6667 0.0000
0.3333 0.6667 0.5000
0.6669 0.0000 0.7500
0.6667 0.3333 0.0000
0.6667 0.3333 0.5000
0.6669 0.6669 0.2500
0.0000 0.3329 0.7500
0.0000 0.6671 0.2500
0.3329 0.0000 0.7500
0.3329 0.3329 0.2500
0.6671 0.0000 0.2500
0.6671 0.6671 0.7500
```



Zr2ScAl2 | PBE-GGA | relaxed

Computed properties:
E	-6.34	eV per atom
ΔE to the lowest computed polymorph	214.4	meV/atom
symmetry	P4/mbm, No. 127

Cell and atoms, written as POSCAR:
```
Zr2ScAl2
1.0
8.3616 0.0000 0.0000
0.0000 8.3616 0.0000
0.0000 0.0000 3.0296
Zr Sc Al
4 2 4
direct
0.1245 0.3755 0.0000
0.3755 0.8755 0.0000
0.6245 0.1245 0.0000
0.8755 0.6245 0.0000
0.0000 0.0000 0.0000
0.5000 0.5000 0.0000
0.1734 0.6734 0.5000
0.3266 0.1734 0.5000
0.6734 0.8266 0.5000
0.8266 0.3266 0.5000
```



Question: Which of these has the lowest E?
Answer: Zr5Sc2Al4



Question: What is the formula in the fifth record?
Answer: ZrScAl



Repeat the fifth record exactly.
ZrScAl | PBE-GGA | relaxed

Computed properties:
E	-6.46	eV per atom
ΔE to the lowest computed polymorph	56.6	meV/atom
symmetry	Imm2, No. 44

Cell and atoms, written as POSCAR:
```
ZrScAl
1.0
-1.5804 2.0443 4.8128
1.5804 -2.0443 4.8128
1.5804 2.0443 -4.8128
Zr Sc Al
1 1 1
direct
0.0000 0.0000 0.0000
0.3150 0.3150 0.0000
0.6585 0.6585 0.0000
```